(1)
# PBE MgAlAs2, relaxed
# Formation energy ... 0.080 eV/atom
# Total magnetic moment ... 0.00 μB per cell
data_MgAlAs2
_cell_length_a 9.971
_cell_length_b 9.971
_cell_length_c 9.971
_cell_angle_alpha 18.06
_cell_angle_beta 18.06
_cell_angle_gamma 18.06
_symmetry_space_group_name_H-M 'P 1'
_symmetry_Int_Tables_number 1
loop_
_symmetry_equiv_pos_as_xyz
'x,y,z'
loop_
_atom_site_label
_atom_site_fract_x
_atom_site_fract_y
_atom_site_fract_z
Mg1 0.498 0.498 0.498
As1 0.234 0.234 0.234
Al1 0.751 0.751 0.751
As2 0.017 0.017 0.017


(2)
# PBE MgMnAl2As, relaxed
# Formation energy ... 0.555 eV/atom
# Total magnetic moment ... 2.81 μB per cell
data_MgMnAl2As
_cell_length_a 4.647
_cell_length_b 4.997
_cell_length_c 4.647
_cell_angle_alpha 90.00
_cell_angle_beta 90.00
_cell_angle_gamma 90.00
_symmetry_space_group_name_H-M 'P 1'
_symmetry_Int_Tables_number 1
loop_
_symmetry_equiv_pos_as_xyz
'x,y,z'
loop_
_atom_site_label
_atom_site_fract_x
_atom_site_fract_y
_atom_site_fract_z
Al1 0.000 0.000 0.500
Mg1 0.000 0.500 0.000
As1 0.500 0.500 0.500
Mn1 0.000 0.000 0.000
Al2 0.500 0.000 0.000


(3)
# PBE Mg2AlAsN, relaxed
# Total magnetic moment ... 0.00 μB per cell
# Formation energy without anion corrections ... -0.464 eV per atom
data_Mg2AlAsN
_cell_length_a 4.331
_cell_length_b 4.331
_cell_length_c 4.025
_cell_angle_alpha 90.00
_cell_angle_beta 90.00
_cell_angle_gamma 90.00
_symmetry_space_group_name_H-M 'P 1'
_symmetry_Int_Tables_number 1
loop_
_symmetry_equiv_pos_as_xyz
'x,y,z'
loop_
_atom_site_label
_atom_site_fract_x
_atom_site_fract_y
_atom_site_fract_z
Mg1 0.000 0.500 0.000
As1 0.500 0.500 0.500
Mg2 0.500 0.000 0.000
N1 0.000 0.000 0.000
Al1 0.000 0.000 0.500